! ZnAg3Cl, relaxed, DFT PBE; values from VASP
! Uncorrected formation energy   0.417 eV per atom
! Size of the total moment   0.0 μB per cell
! DFT total energy   -1.92 eV/atom
! Symmetry   Pm-3m
&SYSTEM
  ibrav = 0, nat = 5, ntyp = 3
/
ATOMIC_SPECIES
Ag 107.87 Ag.upf
Zn 65.41 Zn.upf
Cl 35.45 Cl.upf
CELL_PARAMETERS angstrom
-0.715 -3.624 3.297
3.801 -2.512 -1.937
3.090 2.251 3.145
ATOMIC_POSITIONS crystal
Ag 0.000 0.000 0.500
Zn 0.000 0.000 0.000
Ag 0.500 0.000 0.000
Ag 0.000 0.500 0.000
Cl 0.500 0.500 0.500

! ZnAg2Cl5, relaxed, DFT PBE; values from VASP
! Uncorrected formation energy   -0.630 eV per atom
! Size of the total moment   0.0 μB per cell
! DFT total energy   -2.66 eV/atom
! Symmetry   C2/c
&SYSTEM
  ibrav = 0, nat = 16, ntyp = 3
/
ATOMIC_SPECIES
Zn 65.41 Zn.upf
Ag 107.87 Ag.upf
Cl 35.45 Cl.upf
CELL_PARAMETERS angstrom
-6.911 -2.285 0.057
-1.371 -0.593 7.124
-6.077 6.906 3.111
ATOMIC_POSITIONS crystal
Zn 0.892 0.108 0.250
Ag 0.500 0.000 0.000
Zn 0.108 0.892 0.750
Cl 0.763 0.224 0.046
Cl 0.171 0.219 0.660
Cl 0.224 0.763 0.546
Cl 0.431 0.569 0.250
Ag 0.000 0.500 0.500
Cl 0.219 0.171 0.160
Ag 0.500 0.500 0.000
Ag 0.500 0.500 0.500
Cl 0.781 0.829 0.840
Cl 0.237 0.776 0.954
Cl 0.829 0.781 0.340
Cl 0.569 0.431 0.750
Cl 0.776 0.237 0.454

! ZnAg2Cl, relaxed, DFT PBE; values from VASP
! Uncorrected formation energy   -0.090 eV per atom
! Size of the total moment   0.0 μB per cell
! DFT total energy   -2.30 eV/atom
! Symmetry   Cm
&SYSTEM
  ibrav = 0, nat = 4, ntyp = 3
/
ATOMIC_SPECIES
Ag 107.87 Ag.upf
Cl 35.45 Cl.upf
Zn 65.41 Zn.upf
CELL_PARAMETERS angstrom
-2.644 -4.769 3.850
-2.704 -6.010 1.063
4.176 -1.922 0.766
ATOMIC_POSITIONS crystal
Ag 0.220 0.220 0.251
Cl 0.420 0.420 0.741
Ag 0.096 0.096 0.767
Zn 0.764 0.764 0.741

! ZnAg2Cl, relaxed, DFT PBE; values from VASP
! Uncorrected formation energy   0.126 eV per atom
! Size of the total moment   0.0 μB per cell
! DFT total energy   -2.08 eV/atom
! Symmetry   I4/mmm
&SYSTEM
  ibrav = 0, nat = 4, ntyp = 3
/
ATOMIC_SPECIES
Ag 107.87 Ag.upf
Cl 35.45 Cl.upf
Zn 65.41 Zn.upf
CELL_PARAMETERS angstrom
5.415 0.214 0.000
2.106 4.994 0.000
-3.760 -2.604 2.907
ATOMIC_POSITIONS crystal
Ag 0.500 0.500 0.000
Ag 0.000 0.000 0.000
Cl 0.250 0.750 0.500
Zn 0.750 0.250 0.500

! ZnAgCl, relaxed, DFT PBE; values from VASP
! Uncorrected formation energy   -0.205 eV per atom
! Size of the total moment   0.0 μB per cell
! DFT total energy   -2.20 eV/atom
! Symmetry   Fmm2
&SYSTEM
  ibrav = 0, nat = 3, ntyp = 3
/
ATOMIC_SPECIES
Zn 65.41 Zn.upf
Ag 107.87 Ag.upf
Cl 35.45 Cl.upf
CELL_PARAMETERS angstrom
-0.903 -2.948 6.058
-1.657 -5.053 3.490
2.936 -0.379 1.684
ATOMIC_POSITIONS crystal
Zn 0.671 0.671 0.329
Ag 0.014 0.014 0.986
Cl 0.315 0.315 0.685

! ZnAg2Cl, relaxed, DFT PBE; values from VASP
! Uncorrected formation energy   -0.091 eV per atom
! Size of the total moment   0.0 μB per cell
! DFT total energy   -2.30 eV/atom
! Symmetry   R-3m
&SYSTEM
  ibrav = 0, nat = 4, ntyp = 3
/
ATOMIC_SPECIES
Zn 65.41 Zn.upf
Cl 35.45 Cl.upf
Ag 107.87 Ag.upf
CELL_PARAMETERS angstrom
8.474 0.039 0.023
7.849 3.194 0.023
7.849 1.554 2.790
ATOMIC_POSITIONS crystal
Zn 0.750 0.750 0.750
Cl 0.250 0.250 0.250
Ag 0.498 0.498 0.498
Ag 0.002 0.002 0.002

! ZnAg2Cl, relaxed, DFT PBE; values from VASP
! Uncorrected formation energy   -0.085 eV per atom
! Size of the total moment   0.0 μB per cell
! DFT total energy   -2.29 eV/atom
! Symmetry   Imm2
&SYSTEM
  ibrav = 0, nat = 4, ntyp = 3
/
ATOMIC_SPECIES
Ag 107.87 Ag.upf
Cl 35.45 Cl.upf
Zn 65.41 Zn.upf
CELL_PARAMETERS angstrom
-1.664 2.233 6.096
2.147 -1.319 6.210
1.893 1.024 -6.347
ATOMIC_POSITIONS crystal
Ag 0.066 0.066 0.000
Ag 0.759 0.259 0.500
Cl 0.461 0.461 0.000
Zn 0.214 0.714 0.500

! ZnAg2Cl, relaxed, DFT PBE; values from VASP
! Uncorrected formation energy   -0.130 eV per atom
! Size of the total moment   0.0 μB per cell
! DFT total energy   -2.34 eV/atom
! Symmetry   Pm
&SYSTEM
  ibrav = 0, nat = 4, ntyp = 3
/
ATOMIC_SPECIES
Cl 35.45 Cl.upf
Ag 107.87 Ag.upf
Zn 65.41 Zn.upf
CELL_PARAMETERS angstrom
-3.106 0.322 0.890
-1.013 -1.171 -3.109
0.023 -6.722 2.515
ATOMIC_POSITIONS crystal
Cl 0.000 0.501 0.530
Ag 0.000 0.000 0.977
Zn 0.500 0.500 0.789
Ag 0.500 0.499 0.203

! ZnAg2Cl, relaxed, DFT PBE; values from VASP
! Uncorrected formation energy   0.044 eV per atom
! Size of the total moment   0.0 μB per cell
! DFT total energy   -2.16 eV/atom
! Symmetry   Cmmm
&SYSTEM
  ibrav = 0, nat = 4, ntyp = 3
/
ATOMIC_SPECIES
Ag 107.87 Ag.upf
Cl 35.45 Cl.upf
Zn 65.41 Zn.upf
CELL_PARAMETERS angstrom
5.072 0.028 0.000
-1.776 4.751 0.000
0.000 0.000 3.084
ATOMIC_POSITIONS crystal
Ag 0.000 0.000 0.000
Cl 0.500 0.000 0.500
Ag 0.500 0.500 0.000
Zn 0.000 0.500 0.500

! ZnAg6Cl12, relaxed, DFT PBE; values from VASP
! Uncorrected formation energy   -0.466 eV per atom
! Size of the total moment   0.0 μB per cell
! DFT total energy   -2.60 eV/atom
! Symmetry   R-3
&SYSTEM
  ibrav = 0, nat = 19, ntyp = 3
/
ATOMIC_SPECIES
Cl 35.45 Cl.upf
Zn 65.41 Zn.upf
Ag 107.87 Ag.upf
CELL_PARAMETERS angstrom
-1.123 -7.194 -4.661
-4.241 -5.277 5.377
-8.210 0.545 -2.654
ATOMIC_POSITIONS crystal
Cl 0.679 0.911 0.542
Zn 0.000 0.000 0.000
Cl 0.789 0.833 0.143
Ag 0.106 0.286 0.600
Cl 0.857 0.211 0.167
Ag 0.600 0.106 0.286
Cl 0.143 0.789 0.833
Ag 0.400 0.894 0.714
Cl 0.833 0.143 0.789
Ag 0.894 0.714 0.400
Cl 0.458 0.321 0.089
Cl 0.911 0.542 0.679
Cl 0.211 0.167 0.857
Ag 0.286 0.600 0.106
Cl 0.089 0.458 0.321
Cl 0.321 0.089 0.458
Ag 0.714 0.400 0.894
Cl 0.542 0.679 0.911
Cl 0.167 0.857 0.211

! ZnAg2Cl, relaxed, DFT PBE; values from VASP
! Uncorrected formation energy   -0.097 eV per atom
! Size of the total moment   0.0 μB per cell
! DFT total energy   -2.30 eV/atom
! Symmetry   P2/m
&SYSTEM
  ibrav = 0, nat = 4, ntyp = 3
/
ATOMIC_SPECIES
Ag 107.87 Ag.upf
Cl 35.45 Cl.upf
Zn 65.41 Zn.upf
CELL_PARAMETERS angstrom
-2.133 2.599 -0.878
-1.625 -2.057 -2.139
-4.316 -1.842 5.030
ATOMIC_POSITIONS crystal
Ag 0.000 0.249 0.950
Cl 0.500 0.250 0.250
Zn 0.500 0.750 0.750
Ag 0.000 0.251 0.550

! ZnAg2Cl, relaxed, DFT PBE; values from VASP
! Uncorrected formation energy   0.013 eV per atom
! Size of the total moment   0.0 μB per cell
! DFT total energy   -2.19 eV/atom
! Symmetry   I-42d
&SYSTEM
  ibrav = 0, nat = 8, ntyp = 3
/
ATOMIC_SPECIES
Ag 107.87 Ag.upf
Cl 35.45 Cl.upf
Zn 65.41 Zn.upf
CELL_PARAMETERS angstrom
4.477 0.000 0.000
0.000 4.477 0.000
2.239 2.239 8.831
ATOMIC_POSITIONS crystal
Ag 0.072 0.625 0.250
Cl 0.250 0.750 0.500
Zn 0.750 0.250 0.500
Ag 0.375 0.322 0.750
Ag 0.678 0.125 0.250
Ag 0.875 0.928 0.750
Zn 0.000 0.000 0.000
Cl 0.500 0.500 0.000

! ZnAg2Cl6, relaxed, DFT PBE; values from VASP
! Uncorrected formation energy   -0.543 eV per atom
! Size of the total moment   0.7 μB per cell
! DFT total energy   -2.55 eV/atom
! Symmetry   C2/c
&SYSTEM
  ibrav = 0, nat = 18, ntyp = 3
/
ATOMIC_SPECIES
Cl 35.45 Cl.upf
Ag 107.87 Ag.upf
Zn 65.41 Zn.upf
CELL_PARAMETERS angstrom
4.964 0.104 -1.277
-3.522 9.380 -4.051
0.502 -1.160 10.733
ATOMIC_POSITIONS crystal
Cl 0.154 0.218 0.042
Cl 0.846 0.782 0.958
Ag 0.881 0.256 0.476
Ag 0.119 0.744 0.524
Cl 0.634 0.367 0.887
Cl 0.134 0.887 0.367
Cl 0.366 0.633 0.113
Ag 0.619 0.524 0.744
Cl 0.654 0.042 0.218
Zn 0.750 0.825 0.175
Cl 0.346 0.958 0.782
Zn 0.250 0.175 0.825
Cl 0.401 0.294 0.485
Cl 0.866 0.113 0.633
Cl 0.099 0.515 0.706
Cl 0.599 0.706 0.515
Ag 0.381 0.476 0.256
Cl 0.901 0.485 0.294

! ZnAg2Cl, relaxed, DFT PBE; values from VASP
! Uncorrected formation energy   0.243 eV per atom
! Size of the total moment   0.0 μB per cell
! DFT total energy   -1.96 eV/atom
! Symmetry   F-43m
&SYSTEM
  ibrav = 0, nat = 4, ntyp = 3
/
ATOMIC_SPECIES
Ag 107.87 Ag.upf
Zn 65.41 Zn.upf
Cl 35.45 Cl.upf
CELL_PARAMETERS angstrom
4.837 0.000 0.000
2.418 4.189 0.000
2.418 1.396 3.949
ATOMIC_POSITIONS crystal
Ag 0.250 0.250 0.250
Zn 0.750 0.750 0.750
Ag 0.000 0.000 0.000
Cl 0.500 0.500 0.500

! ZnAg2Cl, relaxed, DFT PBE; values from VASP
! Uncorrected formation energy   -0.081 eV per atom
! Size of the total moment   0.0 μB per cell
! DFT total energy   -2.29 eV/atom
! Symmetry   C2/m
&SYSTEM
  ibrav = 0, nat = 4, ntyp = 3
/
ATOMIC_SPECIES
Cl 35.45 Cl.upf
Ag 107.87 Ag.upf
Zn 65.41 Zn.upf
CELL_PARAMETERS angstrom
4.707 0.091 0.349
3.584 3.053 0.349
2.039 0.773 6.200
ATOMIC_POSITIONS crystal
Cl 0.250 0.250 0.250
Ag 0.515 0.515 0.558
Ag 0.985 0.985 0.942
Zn 0.750 0.750 0.750

! ZnAg2Cl, relaxed, DFT PBE; values from VASP
! Uncorrected formation energy   -0.158 eV per atom
! Size of the total moment   0.0 μB per cell
! DFT total energy   -2.36 eV/atom
! Symmetry   R3m
&SYSTEM
  ibrav = 0, nat = 4, ntyp = 3
/
ATOMIC_SPECIES
Zn 65.41 Zn.upf
Cl 35.45 Cl.upf
Ag 107.87 Ag.upf
CELL_PARAMETERS angstrom
-4.401 7.402 2.277
-6.791 5.248 2.382
-4.849 5.621 4.922
ATOMIC_POSITIONS crystal
Zn 0.752 0.752 0.752
Cl 0.481 0.481 0.481
Ag 0.258 0.258 0.258
Ag 0.009 0.009 0.009

! ZnAg2Cl, relaxed, DFT PBE; values from VASP
! Uncorrected formation energy   -0.086 eV per atom
! Size of the total moment   0.0 μB per cell
! DFT total energy   -2.29 eV/atom
! Symmetry   Cmm2
&SYSTEM
  ibrav = 0, nat = 4, ntyp = 3
/
ATOMIC_SPECIES
Ag 107.87 Ag.upf
Zn 65.41 Zn.upf
Cl 35.45 Cl.upf
CELL_PARAMETERS angstrom
-1.648 -1.794 1.972
2.716 1.093 1.121
-4.094 7.076 3.018
ATOMIC_POSITIONS crystal
Ag 0.000 0.000 0.977
Ag 0.500 0.500 0.236
Zn 0.500 0.500 0.743
Cl 0.000 0.000 0.544

! ZnAg2Cl, relaxed, DFT PBE; values from VASP
! Uncorrected formation energy   -0.029 eV per atom
! Size of the total moment   0.0 μB per cell
! DFT total energy   -2.24 eV/atom
! Symmetry   Immm
&SYSTEM
  ibrav = 0, nat = 4, ntyp = 3
/
ATOMIC_SPECIES
Zn 65.41 Zn.upf
Ag 107.87 Ag.upf
Cl 35.45 Cl.upf
CELL_PARAMETERS angstrom
5.551 0.007 0.003
1.724 5.277 -0.003
-2.562 -4.122 2.694
ATOMIC_POSITIONS crystal
Zn 0.250 0.750 0.500
Ag 0.495 0.495 0.000
Ag 0.005 0.005 0.000
Cl 0.750 0.250 0.500

! ZrAgCl4, relaxed, DFT PBE; values from VASP
! Uncorrected formation energy   -1.103 eV per atom
! Size of the total moment   1.0 μB per cell
! DFT total energy   -4.23 eV/atom
! Symmetry   I-4
&SYSTEM
  ibrav = 0, nat = 6, ntyp = 3
/
ATOMIC_SPECIES
Ag 107.87 Ag.upf
Zr 91.22 Zr.upf
Cl 35.45 Cl.upf
CELL_PARAMETERS angstrom
5.773 0.000 0.000
0.000 5.773 0.000
-2.887 -2.887 6.236
ATOMIC_POSITIONS crystal
Ag 0.750 0.250 0.500
Zr 0.500 0.500 0.000
Cl 0.383 0.850 0.241
Cl 0.858 0.391 0.241
Cl 0.150 0.142 0.759
Cl 0.609 0.617 0.759

! ZrAg4Cl, relaxed, DFT PBE; values from VASP
! Uncorrected formation energy   0.212 eV per atom
! Size of the total moment   1.0 μB per cell
! DFT total energy   -3.42 eV/atom
! Symmetry   F-43m
&SYSTEM
  ibrav = 0, nat = 6, ntyp = 3
/
ATOMIC_SPECIES
Ag 107.87 Ag.upf
Zr 91.22 Zr.upf
Cl 35.45 Cl.upf
CELL_PARAMETERS angstrom
0.000 3.930 3.930
3.930 0.000 3.930
3.930 3.930 0.000
ATOMIC_POSITIONS crystal
Ag 0.875 0.375 0.375
Ag 0.375 0.875 0.375
Ag 0.375 0.375 0.375
Zr 0.000 0.000 0.000
Ag 0.375 0.375 0.875
Cl 0.750 0.750 0.750